Entry 1
TaTcW3 | PBE | optimized geometry

abc: 4.702 4.702 4.702
angles: 90.00 90.00 90.00
Fractional coordinates of all 5 atoms:
W1 0.000 0.500 0.000
W2 0.000 0.000 0.500
Ta1 0.000 0.000 0.000
Tc1 0.500 0.500 0.500
W3 0.500 0.000 0.000

Properties
- Spin magnetization: 0.000 μB per atom

***

Entry 2
TaTcW3 | PBE | optimized geometry

abc: 4.658 4.658 4.658
angles: 90.00 90.00 90.00
Fractional coordinates of all 5 atoms:
W1 0.000 0.500 0.000
W2 0.000 0.000 0.500
W3 0.500 0.000 0.000
Tc1 0.000 0.000 0.000
Ta1 0.500 0.500 0.500

Properties
- Spin magnetization: 0.000 μB per atom

***

Calculated relative energies: entry 1 685; entry 2 0, given in meV per atom